## Sc8Ga2Os (GGA-PBE)

Data for an optimized crystal structure of Sc8Ga2Os.

abc: 4.7904 6.5119 8.4413
angles: 111.67 106.48 90.00
Fractional coordinates of all 11 atoms:
Sc1 0.9828 0.2132 0.9657
Sc2 0.1952 0.2838 0.3904
Sc3 0.3425 0.0490 0.6850
Sc4 0.4060 0.5651 0.8121
Sc5 0.5940 0.4349 0.1879
Sc6 0.6575 0.9510 0.3150
Sc7 0.0172 0.7868 0.0343
Sc8 0.8048 0.7162 0.6096
Ga1 0.1756 0.6880 0.3512
Ga2 0.8244 0.3120 0.6488
Os1 0.5000 0.0000 0.0000

Calculated values
Space-group type ... C2/m
DOS at the Fermi energy ... 11.8 states/eV per cell
Size of the total moment ... 0.00 μB per atom
DFT formation energy ... -0.363 eV/atom

## CdNi3N (GGA-PBE)

Data for an optimized crystal structure of CdNi3N.

abc: 5.1391 5.1391 6.1756
angles: 65.41 65.41 90.00
Fractional coordinates of all 10 atoms:
Ni1 0.6280 0.8605 0.2789
Ni2 0.1395 0.3720 0.7211
Ni3 0.6310 0.6310 0.7379
Ni4 0.3690 0.3690 0.2621
Ni5 0.1395 0.9069 0.7211
Ni6 0.0931 0.8605 0.2789
N1 0.0000 0.0000 0.0000
N2 0.2500 0.7500 0.5000
Cd1 0.6008 0.1008 0.7983
Cd2 0.8992 0.3992 0.2017

Calculated values
Space-group type ... I-4m2
Excess energy over the best structure of this formula in the dataset ... 1.79 eV per formula unit
DOS at the Fermi energy ... 6.6 states/eV per cell
Formation energy without anion corrections ... 1.47 eV/f.u.
Size of the total moment ... 0.00 μB per atom

Sequential volume output: 21.19, 13.19 Å³ per atom